A plane-wave DFT calculation with GGA-PBE was carried out for a relaxed Ta2NbHRh crystal.

Lattice parameters (Å, degrees): 4.446 4.446 3.584 90.00 90.00 90.00
Space group P4/mmm (No. 123)
One atom of each set of equivalent atoms:
1 Ta 0.000 0.500 0.000 (multiplicity 2)
2 Nb 0.000 0.000 0.500 (multiplicity 1)
3 H 0.500 0.500 0.000 (multiplicity 1)
4 Rh 0.500 0.500 0.500 (multiplicity 1)

Volume   70.83 Å³/cell
Energy   -45.5 eV per cell